9
Lattice="4.906 0.000 0.000 0.767 5.470 0.000 0.161 1.936 5.735" Properties=species:S:1:pos:R:3 comment="GGA+U KSbMoF6, relaxed" energy_ev_per_atom=-4.92 pbc="T T T"
K 0.000 0.000 0.000
Sb 3.710 5.207 3.419
Mo 2.168 2.904 2.125
F 0.590 4.346 2.547
F 1.022 2.404 0.533
F 1.302 1.434 3.388
F 3.060 4.092 0.653
F 3.377 3.060 3.973
F 3.439 1.218 1.870